No. 1
A plane-wave DFT calculation with PBE-GGA was carried out for a geometry-optimized LaCo structure.

Values from the calculation:
The density of states at the Fermi level comes out at 2.8 states/eV/f.u. Its space group is Cm (8). As for the energy relative to the elements: 0.08 eV per atom.

a b c (Å): 5.463 5.463 7.299
angles (deg): 82.09 82.09 39.87
Fractional coordinates of all 6 atoms:
La  0.947  0.947  0.165
La  0.001  0.001  0.584
La  0.225  0.225  0.892
Co  0.663  0.663  0.250
Co  0.252  0.252  0.372
Co  0.745  0.745  0.571

---

No. 2
A plane-wave DFT calculation with PBE-GGA was carried out for a geometry-optimized CeP4N7 structure.

Values from the calculation:
The value obtained for the formation energy without anion corrections is -36 kJ per mole of atoms. The density of states at the Fermi level comes out at 4.9 states/eV/f.u. Its space group is Pmn2_1 (31).

a b c (Å): 4.683 5.965 10.679
angles (deg): 90.00 90.00 90.00
Fractional coordinates of all 24 atoms:
Ce  0.706  0.829  0.500
Ce  0.206  0.171  0.000
P  0.581  0.700  0.869
P  0.074  0.766  0.277
P  0.574  0.234  0.223
P  0.081  0.300  0.631
P  0.081  0.300  0.369
P  0.581  0.700  0.131
P  0.074  0.766  0.723
P  0.574  0.234  0.777
N  0.920  0.744  0.142
N  0.420  0.256  0.358
N  0.492  0.429  0.879
N  0.992  0.571  0.621
N  0.992  0.571  0.379
N  0.492  0.429  0.121
N  0.422  0.789  0.740
N  0.922  0.211  0.760
N  0.922  0.211  0.240
N  0.422  0.789  0.260
N  0.471  0.821  0.000
N  0.971  0.179  0.500
N  0.920  0.744  0.858
N  0.420  0.256  0.642

---

No. 3
A plane-wave DFT calculation with PBE-GGA was carried out for a geometry-optimized In3Hg structure.

Values from the calculation:
The density of states at the Fermi level comes out at 1.4 states/eV/f.u. Its space group is Pmmm (47). As for the energy relative to the elements: 0.00 eV per atom.

a b c (Å): 3.473 4.613 6.628
angles (deg): 90.00 90.00 90.00
Fractional coordinates of all 4 atoms:
Hg  0.000  0.000  0.000
In  0.500  0.500  0.754
In  0.000  0.000  0.500
In  0.500  0.500  0.246

---

No. 4
A plane-wave DFT calculation with PBE-GGA was carried out for a geometry-optimized Al2HgPbF structure.

Values from the calculation:
The value obtained for the formation energy without anion corrections is 3 kJ per mole of atoms. The density of states at the Fermi level comes out at 3.0 states/eV/f.u. Its space group is P4/mmm (123).

a b c (Å): 5.045 4.915 5.045
angles (deg): 90.00 90.00 90.00
Fractional coordinates of all 5 atoms:
Pb  0.500  0.500  0.500
F  0.000  0.500  0.000
Hg  0.000  0.000  0.000
Al  0.000  0.000  0.500
Al  0.500  0.000  0.000

---

No. 5
A plane-wave DFT calculation with PBE-GGA was carried out for a geometry-optimized PuMnSi2 structure.

Values from the calculation:
The value obtained for the formation energy without anion corrections is -36 kJ per mole of atoms. The density of states at the Fermi level comes out at 6.9 states/eV/f.u. Its space group is C2/m (12).

a b c (Å): 4.315 4.315 8.008
angles (deg): 110.87 110.88 71.82
Fractional coordinates of all 8 atoms:
Pu  0.385  0.385  0.770
Pu  0.615  0.615  0.230
Mn  0.157  0.158  0.315
Mn  0.843  0.842  0.685
Si  0.836  0.836  0.000
Si  0.750  0.250  0.500
Si  0.164  0.164  0.000
Si  0.250  0.750  0.500

---

No. 6
A plane-wave DFT calculation with PBE-GGA was carried out for a geometry-optimized Li4Dy3ThS8 structure.

Values from the calculation:
The value obtained for the formation energy without anion corrections is -173 kJ per mole of atoms. The density of states at the Fermi level comes out at 3.0 states/eV/f.u. Its space group is R-3m (166).

a b c (Å): 7.849 7.677 7.848
angles (deg): 120.76 120.01 90.00
Fractional coordinates of all 16 atoms:
Li  0.500  0.000  0.000
Li  0.500  0.000  0.500
Li  0.000  0.000  0.000
Li  0.000  0.000  0.500
Dy  0.500  0.500  0.000
Dy  0.500  0.500  0.500
Dy  0.000  0.500  0.500
Th  0.000  0.500  0.000
S  0.254  0.757  0.003
S  0.254  0.757  0.509
S  0.249  0.248  0.499
S  0.748  0.757  0.003
S  0.252  0.243  0.997
S  0.751  0.752  0.501
S  0.746  0.243  0.491
S  0.746  0.243  0.997

---

No. 7
A plane-wave DFT calculation with PBE-GGA was carried out for a geometry-optimized BeNiAs2 structure.

Values from the calculation:
The density of states at the Fermi level comes out at 2.5 states/eV/f.u. Its space group is Cmmm (65). As for the energy relative to the elements: 0.28 eV per atom.

a b c (Å): 2.878 2.878 6.826
angles (deg): 90.00 90.00 95.93
Fractional coordinates of all 4 atoms:
Ni  0.500  0.500  0.750
As  0.000  0.000  0.997
As  0.000  0.000  0.503
Be  0.500  0.500  0.250

---

No. 8
A plane-wave DFT calculation with PBE-GGA was carried out for a geometry-optimized CsMn2Br6 structure.

Values from the calculation:
The value obtained for the formation energy without anion corrections is -91 kJ per mole of atoms. For the distance to the lowest polymorph of the same formula, the calculation gives 20 meV/atom. The density of states at the Fermi level comes out at 2.3 states/eV/f.u. Its space group is C2/m (12).

a b c (Å): 5.900 6.801 10.127
angles (deg): 75.29 73.06 64.29
Fractional coordinates of all 9 atoms:
Cs  0.000  0.500  0.500
Mn  0.178  0.716  0.927
Mn  0.822  0.284  0.073
Br  0.691  0.673  0.946
Br  0.309  0.327  0.054
Br  0.985  0.869  0.162
Br  0.333  0.649  0.684
Br  0.015  0.131  0.838
Br  0.667  0.351  0.316